RbSr2Pt2: relaxed, PBE-GGA.

**SG**: P4/mbm (127)
**DFT formation energy**: -0.4726 eV per atom
**M_tot**: 0.00 μB/atom

Cell lengths 8.6824, 8.6824, 3.9837 Å; angles 90.00, 90.00, 90.00 degrees
Last column: nearest neighbours and their distance in Å.
Sites, in units of the cell vectors:
Rb1 0.5000 0.5000 0.0000  4 Pt 3.40
Sr1 0.1513 0.6513 0.5000  6 Pt 3.16-3.33
Sr2 0.3487 0.1513 0.5000  6 Pt 3.16-3.33
Pt1 0.6311 0.1311 0.0000  6 Sr 3.16-3.33, 1 Pt 3.22, 2 Rb 3.40
Pt2 0.8689 0.6311 0.0000  6 Sr 3.16-3.33, 1 Pt 3.22, 2 Rb 3.40
Pt3 0.3689 0.8689 0.0000  6 Sr 3.16-3.33, 1 Pt 3.22, 2 Rb 3.40
Pt4 0.1311 0.3689 0.0000  6 Sr 3.16-3.33, 1 Pt 3.22, 2 Rb 3.40
Sr3 0.8487 0.3487 0.5000  6 Pt 3.16-3.33
Sr4 0.6513 0.8487 0.5000  6 Pt 3.16-3.33
Rb2 0.0000 0.0000 0.0000  4 Pt 3.40

RbSr2Pt2: relaxed, PBE-GGA.

**SG**: I4/mmm (139)
**DFT formation energy**: -0.4276 eV per atom
**M_tot**: 0.00 μB/atom

Cell lengths 5.2790, 5.2790, 6.9975 Å; angles 67.84, 67.84, 90.00 degrees
Last column: nearest neighbours and their distance in Å.
Sites, in units of the cell vectors:
Sr1 0.7500 0.2500 0.5000  4 Pt 3.10
Sr2 0.2500 0.7500 0.5000  4 Pt 3.10
Pt1 0.6131 0.6131 0.7739  1 Pt 2.68
Pt2 0.3869 0.3869 0.2261  1 Pt 2.68
Rb1 0.0000 0.0000 0.0000  8 Sr 3.97, 8 Pt 3.97

RbSr2Pt: relaxed, PBE-GGA.

**Relative energy among the computed polymorphs**: 202.0 meV per atom
**SG**: I-42d (122)
**DFT formation energy**: -0.2091 eV per atom
**M_tot**: 0.00 μB/atom

Cell lengths 10.1513, 10.1513, 8.0590 Å; angles 50.96, 50.96, 90.00 degrees
Last column: nearest neighbours and their distance in Å.
Sites, in units of the cell vectors:
Sr1 0.3750 0.2494 0.7500  2 Pt 2.98
Sr2 0.8750 0.0006 0.7500  2 Pt 2.98
Rb1 0.5000 0.5000 0.0000  2 Pt 3.66, 4 Sr 3.95
Sr3 0.7506 0.1250 0.2500  2 Pt 2.98
Pt1 0.7500 0.2500 0.5000  4 Sr 2.98
Pt2 0.0000 0.0000 0.0000  4 Sr 2.98
Rb2 0.2500 0.7500 0.5000  2 Pt 3.66, 4 Sr 3.95
Sr4 0.9994 0.6250 0.2500  2 Pt 2.98

RbSr2Pt: relaxed, PBE-GGA.

**Relative energy among the computed polymorphs**: 0.0 meV per atom
**SG**: R-3m (166)
**DFT formation energy**: -0.4111 eV per atom
**M_tot**: 0.00 μB/atom

Cell lengths 4.4625, 4.4625, 12.1367 Å; angles 79.41, 79.41, 60.00 degrees
Last column: nearest neighbours and their distance in Å.
Sites, in units of the cell vectors:
Sr1 0.1224 0.1224 0.6327  3 Pt 3.02
Rb1 0.0000 0.0000 0.0000  2 Sr 4.36, 6 Rb 4.46
Pt1 0.5000 0.5000 0.5000  6 Sr 3.02
Sr2 0.8776 0.8776 0.3673  3 Pt 3.02

Rb2SrPt: relaxed, PBE-GGA.

**Relative energy among the computed polymorphs**: 0.0 meV per atom
**SG**: I-42d (122)
**DFT formation energy**: -0.0087 eV per atom
**M_tot**: 0.00 μB/atom

Cell lengths 12.3456, 12.3456, 9.2031 Å; angles 47.88, 47.88, 90.00 degrees
Last column: nearest neighbours and their distance in Å.
Sites, in units of the cell vectors:
Rb1 0.9839 0.6250 0.2500  2 Pt 3.44
Sr1 0.5000 0.5000 0.0000  2 Pt 2.91
Sr2 0.2500 0.7500 0.5000  2 Pt 2.91
Rb2 0.3750 0.2339 0.7500  2 Pt 3.44
Pt1 0.0000 0.0000 0.0000  2 Sr 2.91
Rb3 0.7661 0.1250 0.2500  2 Pt 3.44
Rb4 0.8750 0.0161 0.7500  2 Pt 3.44
Pt2 0.7500 0.2500 0.5000  2 Sr 2.91

RbSr2Pt: relaxed, PBE-GGA.

**Relative energy among the computed polymorphs**: 379.9 meV per atom
**SG**: Fm-3m (225)
**DFT formation energy**: -0.0312 eV per atom
**M_tot**: 0.00 μB/atom

Cell lengths 5.7497, 5.7497, 5.7497 Å; angles 60.00, 60.00, 60.00 degrees
Last column: nearest neighbours and their distance in Å.
Sites, in units of the cell vectors:
Pt1 0.5000 0.5000 0.5000  8 Sr 3.52
Rb1 0.0000 0.0000 0.0000  8 Sr 3.52
Sr1 0.2500 0.2500 0.2500  4 Rb 3.52, 4 Pt 3.52
Sr2 0.7500 0.7500 0.7500  4 Rb 3.52, 4 Pt 3.52

RbSrTl2Pt: relaxed, PBE-GGA.

**SG**: P4/mmm (123)
**DFT formation energy**: -0.1962 eV per atom
**M_tot**: 0.00 μB/atom

Cell lengths 5.5414, 5.5414, 5.7727 Å; angles 90.00, 90.00, 90.00 degrees
Last column: nearest neighbours and their distance in Å.
Sites, in units of the cell vectors:
Tl1 0.5000 0.0000 0.0000  2 Pt 2.77
Pt1 0.0000 0.0000 0.0000  4 Tl 2.77, 2 Sr 2.89
Rb1 0.5000 0.5000 0.5000  4 Sr 3.92, 8 Tl 4.00
Sr1 0.0000 0.0000 0.5000  2 Pt 2.89
Tl2 0.0000 0.5000 0.0000  2 Pt 2.77

RbSrY2Pt: relaxed, PBE-GGA.

**SG**: P4/mmm (123)
**DFT formation energy**: 1.5286 eV per atom
**M_tot**: 0.22 μB/atom

Cell lengths 5.6599, 5.7426, 5.6599 Å; angles 90.00, 90.00, 90.00 degrees
Last column: nearest neighbours and their distance in Å.
Sites, in units of the cell vectors:
Pt1 0.5000 0.5000 0.5000  4 Rb 4.00, 8 Y 4.03
Rb1 0.0000 0.5000 0.0000  2 Sr 2.87
Y1 0.0000 0.0000 0.5000  2 Sr 2.83
Y2 0.5000 0.0000 0.0000  2 Sr 2.83
Sr1 0.0000 0.0000 0.0000  4 Y 2.83, 2 Rb 2.87